# Li2TiCo3P6O24 | Alexandria | PBE with a Hubbard U | relaxed
# Crystal system: trigonal
# E, eV per atom: -6.819
# V, Å³/atom: 12.49
# Space-group type: R3, No. 146
# Density of states at the Fermi level, states/eV/cell: 6.8
data_Li2TiCo3P6O24
_symmetry_space_group_name_H-M 'P 1'
_symmetry_Int_Tables_number 1
_symmetry_space_group_name_Hall 'P 1'
_cell_length_a 8.5791
_cell_length_b 8.5791
_cell_length_c 8.5791
_cell_angle_alpha 60.30
_cell_angle_beta 60.30
_cell_angle_gamma 60.30
loop_
_atom_site_label
_atom_site_fract_x
_atom_site_fract_y
_atom_site_fract_z
Li1 0.0000 0.0000 0.0000
Li2 0.4947 0.4947 0.4947
Ti1 0.6431 0.6431 0.6431
Co1 0.1429 0.1429 0.1429
Co2 0.3549 0.3549 0.3549
Co3 0.8565 0.8565 0.8565
P1 0.0440 0.4571 0.7504
P2 0.2479 0.9583 0.5425
P3 0.4571 0.7504 0.0440
P4 0.5425 0.2479 0.9583
P5 0.7504 0.0440 0.4571
P6 0.9583 0.5425 0.2479
O1 0.0054 0.6192 0.8088
O2 0.0561 0.2647 0.9138
O3 0.0864 0.9408 0.7362
O4 0.1212 0.5020 0.3072
O5 0.1912 0.9962 0.3796
O6 0.2370 0.4378 0.5877
O7 0.2647 0.9138 0.0561
O8 0.3072 0.1212 0.5020
O9 0.3796 0.1912 0.9962
O10 0.4132 0.7660 0.5610
O11 0.4378 0.5877 0.2370
O12 0.5020 0.3072 0.1212
O13 0.5049 0.6883 0.8790
O14 0.5610 0.4132 0.7660
O15 0.5877 0.2370 0.4378
O16 0.6192 0.8088 0.0054
O17 0.6883 0.8790 0.5049
O18 0.7362 0.0864 0.9408
O19 0.7660 0.5610 0.4132
O20 0.8088 0.0054 0.6192
O21 0.8790 0.5049 0.6883
O22 0.9138 0.0561 0.2647
O23 0.9408 0.7362 0.0864
O24 0.9962 0.3796 0.1912